Below is a geometry-optimized ZrFeOs2Rh structure, with properties calculated at the PBE level.

- formation energy from the elements (kcal/mol of atoms) = 57.21
- D(E_F) (states/eV/cell) = 9.3

abc: 4.793 4.793 4.675
angles: 90.00 90.00 90.00
Space group P4/mmm (No. 123)
Inequivalent atoms, fractional coordinates:
Zr 0.000 0.000 0.000 (multiplicity 1)
Fe 0.500 0.500 0.500 (multiplicity 1)
Os 0.000 0.500 0.000 (multiplicity 2)
Rh 0.000 0.000 0.500 (multiplicity 1)